Version one
Ac3LaS4 | PBE | optimized geometry

Values from the calculation:
- SG: Pm-3m (221)

a b c (Å): 6.0439 6.0439 6.0439
angles (deg): 90.00 90.00 90.00
Closest atoms and distances in Å follow each position.
Atoms (fractional coordinates):
Ac (0.0000, 0.5000, 0.5000)  6 S 3.02
Ac (0.5000, 0.0000, 0.5000)  6 S 3.02
Ac (0.5000, 0.5000, 0.0000)  6 S 3.02
La (0.0000, 0.0000, 0.0000)  6 S 3.02
S (0.5000, 0.0000, 0.0000)  4 Ac 3.02, 2 La 3.02
S (0.0000, 0.5000, 0.0000)  4 Ac 3.02, 2 La 3.02
S (0.0000, 0.0000, 0.5000)  4 Ac 3.02, 2 La 3.02
S (0.5000, 0.5000, 0.5000)  6 Ac 3.02

***

Version two
Ac3LaS4 | PBE | optimized geometry

Values from the calculation:
- SG: P2/c (13)

a b c (Å): 7.4131 7.4171 8.4887
angles (deg): 90.00 90.00 109.35
Closest atoms and distances in Å follow each position.
Atoms (fractional coordinates):
Ac (0.7500, 0.0000, 0.3738)  6 S 3.01-3.02
Ac (0.2500, 0.0000, 0.6262)  6 S 3.01-3.02
Ac (0.7500, 0.5000, 0.6261)  6 S 3.03-3.06
Ac (0.7500, 0.5000, 0.1241)  6 S 3.01-3.06
Ac (0.2500, 0.5000, 0.3739)  6 S 3.03-3.06
Ac (0.2500, 0.5000, 0.8759)  6 S 3.01-3.06
S (0.9967, 0.2464, 0.6282)  1 La 2.98, 5 Ac 3.02-3.06
S (0.4999, 0.2437, 0.8783)  2 La 2.97-2.99, 4 Ac 3.01-3.06
S (0.4967, 0.2464, 0.3718)  1 La 2.98, 5 Ac 3.02-3.06
S (0.9999, 0.2437, 0.1217)  2 La 2.97-2.99, 4 Ac 3.01-3.06
S (0.0001, 0.7563, 0.8783)  2 La 2.97-2.99, 4 Ac 3.01-3.06
S (0.5033, 0.7536, 0.6282)  1 La 2.98, 5 Ac 3.02-3.06
S (0.5001, 0.7563, 0.1217)  2 La 2.97-2.99, 4 Ac 3.01-3.06
S (0.0033, 0.7536, 0.3718)  1 La 2.98, 5 Ac 3.02-3.06
La (0.7500, 0.0000, 0.8762)  6 S 2.97-2.99
La (0.2500, 0.0000, 0.1238)  6 S 2.97-2.99

***

Best to worst by energy: version two, version one.

***

Version one
AcLaS3 | PBE | optimized geometry

Values from the calculation:
- SG: Pmmn (59)

a b c (Å): 4.2475 7.0200 9.1229
angles (deg): 90.00 90.00 90.00
Closest atoms and distances in Å follow each position.
Atoms (fractional coordinates):
Ac (0.7500, 0.2500, 0.1461)  6 S 2.90-3.17
Ac (0.2500, 0.7500, 0.8539)  6 S 2.90-3.17
La (0.7500, 0.7500, 0.3979)  7 S 2.90-2.99
La (0.2500, 0.2500, 0.6021)  7 S 2.90-2.99
S (0.7500, 0.7500, 0.0707)  2 Ac 2.90, 1 La 2.99
S (0.2500, 0.2500, 0.9293)  2 Ac 2.90, 1 La 2.99
S (0.7500, 0.9810, 0.6672)  3 La 2.90-2.94, 2 Ac 3.17, 1 S 3.24
S (0.7500, 0.5190, 0.6672)  3 La 2.90-2.94, 2 Ac 3.17, 1 S 3.24
S (0.2500, 0.0190, 0.3328)  3 La 2.90-2.94, 2 Ac 3.17, 1 S 3.24
S (0.2500, 0.4810, 0.3328)  3 La 2.90-2.94, 2 Ac 3.17, 1 S 3.24

***

Version two
AcLaS3 | PBE | optimized geometry

Values from the calculation:
- SG: Pnma (62)

a b c (Å): 4.2586 7.7284 16.1418
angles (deg): 90.00 90.00 90.00
Closest atoms and distances in Å follow each position.
Atoms (fractional coordinates):
Ac (0.7500, 0.8522, 0.7985)  8 S 2.97-3.26
Ac (0.2500, 0.1478, 0.2015)  8 S 2.97-3.26
Ac (0.7500, 0.3522, 0.7015)  8 S 2.97-3.26
Ac (0.2500, 0.6478, 0.2985)  8 S 2.97-3.26
La (0.2500, 0.2666, 0.9557)  7 S 2.90-3.10
La (0.2500, 0.7666, 0.5443)  7 S 2.90-3.10
La (0.7500, 0.2334, 0.4557)  7 S 2.90-3.10
La (0.7500, 0.7334, 0.0443)  7 S 2.90-3.10
S (0.2500, 0.3704, 0.5620)  3 La 2.93-3.08, 2 Ac 3.10, 1 S 3.28
S (0.7500, 0.8545, 0.2167)  1 La 2.94, 4 Ac 2.97-3.12, 1 S 3.28
S (0.7500, 0.4862, 0.8930)  3 La 2.90-3.10, 1 Ac 3.21
S (0.7500, 0.9862, 0.6070)  3 La 2.90-3.10, 1 Ac 3.21
S (0.7500, 0.6296, 0.4380)  3 La 2.93-3.08, 2 Ac 3.10, 1 S 3.28
S (0.2500, 0.0138, 0.3930)  3 La 2.90-3.10, 1 Ac 3.21
S (0.2500, 0.8704, 0.9380)  3 La 2.93-3.08, 2 Ac 3.10, 1 S 3.28
S (0.7500, 0.3545, 0.2833)  1 La 2.94, 4 Ac 2.97-3.12, 1 S 3.28
S (0.2500, 0.6455, 0.7167)  1 La 2.94, 4 Ac 2.97-3.12, 1 S 3.28
S (0.2500, 0.1455, 0.7833)  1 La 2.94, 4 Ac 2.97-3.12, 1 S 3.28
S (0.7500, 0.1296, 0.0620)  3 La 2.93-3.08, 2 Ac 3.10, 1 S 3.28
S (0.2500, 0.5138, 0.1070)  3 La 2.90-3.10, 1 Ac 3.21

***

Best to worst by energy: version two, version one.